# 1
Below is CePuNiIr after structural relaxation, with properties calculated at the PBE-GGA level.

Lattice parameters (Å, degrees): 4.6412 4.6412 4.6412 60.00 60.00 60.00
Last column: nearest neighbours and their distance in Å.
Atoms (fractional coordinates):
Ni1 0.0000 0.0000 0.0000  4 Ir 2.84, 4 Pu 2.84
Ir1 0.2500 0.2500 0.2500  4 Ce 2.84, 4 Ni 2.84
Ce1 0.5000 0.5000 0.5000  4 Pu 2.84, 4 Ir 2.84
Pu1 0.7500 0.7500 0.7500  4 Ni 2.84, 4 Ce 2.84

Properties
space group = F-43m, No. 216
calculated formation energy = -1.6 eV per formula unit
spin magnetization = 4.81 μB per formula unit
final energy = -9.14 eV/atom

# 2
Below is LaZrBH2 after structural relaxation, with properties calculated at the PBE-GGA level.

Lattice parameters (Å, degrees): 3.9221 6.6052 3.9221 90.00 90.00 90.00
Last column: nearest neighbours and their distance in Å.
Atoms (fractional coordinates):
H1 0.0000 0.0000 0.5000  2 La 1.96
H2 0.5000 0.0000 0.0000  2 La 1.96
B1 0.5000 0.5000 0.5000  4 Zr 2.77
Zr1 0.0000 0.5000 0.0000  4 B 2.77
La1 0.0000 0.0000 0.0000  4 H 1.96

Properties
space group = P4/mmm, No. 123
spin magnetization = 0.00 μB per formula unit
final energy = -4.49 eV/atom

# 3
Below is AcPrZnCu after structural relaxation, with properties calculated at the PBE-GGA level.

Lattice parameters (Å, degrees): 5.3375 5.3375 5.3375 60.00 60.00 60.00
Last column: nearest neighbours and their distance in Å.
Atoms (fractional coordinates):
Pr1 0.5000 0.5000 0.5000  4 Zn 3.27, 4 Cu 3.27
Ac1 0.0000 0.0000 0.0000  4 Cu 3.27, 4 Zn 3.27
Zn1 0.7500 0.7500 0.7500  4 Ac 3.27, 4 Pr 3.27
Cu1 0.2500 0.2500 0.2500  4 Ac 3.27, 4 Pr 3.27

Properties
space group = F-43m, No. 216
calculated formation energy = -0.7 eV per formula unit
spin magnetization = 0.00 μB per formula unit
final energy = -3.73 eV/atom

# 4
Below is VNi2Sn after structural relaxation, with properties calculated at the PBE-GGA level.

Lattice parameters (Å, degrees): 3.5264 4.0067 4.0067 90.00 90.00 90.00
Last column: nearest neighbours and their distance in Å.
Atoms (fractional coordinates):
Ni1 0.0000 0.0000 0.5000  4 V 2.67, 4 Sn 2.67, 4 Ni 2.83
Ni2 0.0000 0.5000 0.0000  4 Sn 2.67, 4 V 2.67, 4 Ni 2.83
Sn1 0.5000 0.0000 0.0000  8 Ni 2.67, 4 V 2.83
V1 0.5000 0.5000 0.5000  8 Ni 2.67, 4 Sn 2.83

Properties
space group = P4/mmm, No. 123
calculated formation energy = -0.2 eV per formula unit
spin magnetization = 2.46 μB per formula unit
final energy = -6.22 eV/atom

# 5
Below is YC4 after structural relaxation, with properties calculated at the PBE-GGA level.

Lattice parameters (Å, degrees): 4.6422 4.6422 4.6422 109.47 109.47 109.47
Last column: nearest neighbours and their distance in Å.
Atoms (fractional coordinates):
Y1 0.0000 0.0000 0.0000  8 C 2.32
C1 0.5000 0.5000 0.5000  2 Y 2.32
C2 0.0000 0.0000 0.5000  2 Y 2.32
C3 0.0000 0.5000 0.0000  2 Y 2.32
C4 0.5000 0.0000 0.0000  2 Y 2.32

Properties
space group = Im-3m, No. 229
calculated formation energy = 17.1 eV per formula unit
spin magnetization = 0.00 μB per formula unit
final energy = -5.25 eV/atom

# 6
Below is IrOs2W after structural relaxation, with properties calculated at the PBE-GGA level.

Lattice parameters (Å, degrees): 4.7824 4.7824 4.7606 80.22 80.22 33.59
Last column: nearest neighbours and their distance in Å.
Atoms (fractional coordinates):
Ir1 0.2498 0.2498 0.2518  7 Os 2.71-2.80, 3 W 2.75, 2 Ir 2.76
Os1 0.0031 0.0031 0.9875  5 Os 2.69-2.76, 4 W 2.72-2.79, 3 Ir 2.77-2.80
Os2 0.7477 0.7477 0.7634  5 Os 2.69-2.76, 4 Ir 2.71-2.80, 3 W 2.79
W1 0.4994 0.4994 0.4972  7 Os 2.72-2.79, 3 Ir 2.75, 2 W 2.76

Properties
space group = Cm, No. 8
calculated formation energy = 0.0 eV per formula unit
spin magnetization = 0.00 μB per formula unit
final energy = -11.07 eV/atom

# 7
Below is MnMo2Au after structural relaxation, with properties calculated at the PBE-GGA level.

Lattice parameters (Å, degrees): 5.0832 5.0832 5.0832 139.77 132.33 64.10
Last column: nearest neighbours and their distance in Å.
Atoms (fractional coordinates):
Au1 0.2500 0.7500 0.5000  4 Mn 2.70, 8 Mo 2.84-2.92
Mn1 0.7500 0.2500 0.5000  4 Au 2.70, 4 Mo 2.71
Mo1 0.9900 0.9900 0.0000  4 Mo 2.70, 2 Mn 2.71, 4 Au 2.84-2.92
Mo2 0.5100 0.5100 0.0000  4 Mo 2.70, 2 Mn 2.71, 4 Au 2.84-2.92

Properties
space group = Immm, No. 71
calculated formation energy = 0.9 eV per formula unit
spin magnetization = 2.63 μB per formula unit
final energy = -8.30 eV/atom

# 8
Below is PrTmIn after structural relaxation, with properties calculated at the PBE-GGA level.

Lattice parameters (Å, degrees): 6.1228 5.7700 3.5498 52.04 73.16 61.91
Last column: nearest neighbours and their distance in Å.
Atoms (fractional coordinates):
Pr1 0.1978 0.8150 0.2513  5 Tm 3.29-3.57, 5 In 3.41-3.59, 2 Pr 3.55
Tm1 0.5881 0.1196 0.2517  4 In 3.24, 5 Pr 3.29-3.57, 2 Tm 3.55
In1 0.8627 0.4824 0.2514  4 Tm 3.24, 5 Pr 3.41-3.59, 2 In 3.55

Properties
space group = Imm2, No. 44
calculated formation energy = -0.8 eV per formula unit
spin magnetization = 0.00 μB per formula unit
final energy = -4.26 eV/atom

# 9
Below is Ac4ZnSe2S after structural relaxation, with properties calculated at the PBE-GGA level.

Lattice parameters (Å, degrees): 4.3879 7.7672 7.8591 108.89 90.00 90.00
Last column: nearest neighbours and their distance in Å.
Atoms (fractional coordinates):
Ac1 0.5000 0.2494 0.2439  2 Zn 3.14, 1 S 3.14, 3 Se 3.18-3.21
Ac2 0.5000 0.7506 0.7561  2 Zn 3.14, 1 S 3.14, 3 Se 3.18-3.21
Ac3 0.0000 0.2569 0.7595  2 S 3.10, 1 Zn 3.16, 3 Se 3.20-3.21
Ac4 0.0000 0.7431 0.2405  2 S 3.10, 1 Zn 3.16, 3 Se 3.20-3.21
Zn1 0.0000 0.0000 0.0000  6 Ac 3.14-3.16
Se1 0.5000 0.0000 0.5000  6 Ac 3.21
Se2 0.0000 0.5000 0.5000  6 Ac 3.18-3.20
S1 0.5000 0.5000 0.0000  6 Ac 3.10-3.14

Properties
space group = P2/m, No. 10
spin magnetization = 0.00 μB per formula unit
ΔE_f (raw) = -1.458 eV/atom
final energy = -5.06 eV/atom

# 10
Below is DyMnGa3 after structural relaxation, with properties calculated at the PBE-GGA level.

Lattice parameters (Å, degrees): 6.4602 6.4602 9.1364 90.00 90.00 90.00
Last column: nearest neighbours and their distance in Å.
Atoms (fractional coordinates):
Dy1 0.9997 0.9997 0.2500  12 Ga 3.23
Dy2 0.0003 0.0003 0.7500  12 Ga 3.23
Dy3 0.4999 0.4999 0.2500  12 Ga 3.23
Dy4 0.5001 0.5001 0.7500  12 Ga 3.23
Mn1 0.5000 0.0000 0.0000  6 Ga 2.28
Mn2 0.5000 0.0000 0.5000  6 Ga 2.28
Mn3 0.0000 0.5000 0.0000  6 Ga 2.28
Mn4 0.0000 0.5000 0.5000  6 Ga 2.28
Ga1 0.9998 0.4998 0.2500  2 Mn 2.28
Ga2 0.0002 0.5002 0.7500  2 Mn 2.28
Ga3 0.5002 0.0002 0.7500  2 Mn 2.28
Ga4 0.4998 0.9998 0.2500  2 Mn 2.28
Ga5 0.2499 0.2499 0.4998  2 Mn 2.28
Ga6 0.7501 0.7501 0.9998  2 Mn 2.28
Ga7 0.7501 0.7501 0.5002  2 Mn 2.28
Ga8 0.2499 0.2499 0.0002  2 Mn 2.28
Ga9 0.2501 0.7499 0.0000  2 Mn 2.28
Ga10 0.7499 0.2501 0.5000  2 Mn 2.28
Ga11 0.7499 0.2501 0.0000  2 Mn 2.28
Ga12 0.2501 0.7499 0.5000  2 Mn 2.28

Properties
space group = Pm-3m, No. 221
calculated formation energy = -1.2 eV per formula unit
spin magnetization = 0.00 μB per formula unit
final energy = -4.82 eV/atom

# 11
Below is Y2WSe after structural relaxation, with properties calculated at the PBE-GGA level.

Lattice parameters (Å, degrees): 8.6735 8.6735 8.6735 24.07 24.07 24.07
Last column: nearest neighbours and their distance in Å.
Atoms (fractional coordinates):
Se1 0.2500 0.2500 0.2500  6 Y 2.89
W1 0.7500 0.7500 0.7500  6 Y 3.04
Y1 0.9956 0.9956 0.9956  3 Se 2.89, 3 W 3.04
Y2 0.5044 0.5044 0.5044  3 Se 2.89, 3 W 3.04

Properties
space group = R-3m, No. 166
spin magnetization = 1.21 μB per formula unit
ΔE_f (raw) = -0.234 eV/atom
final energy = -7.58 eV/atom

# 12
Below is NdYAu2 after structural relaxation, with properties calculated at the PBE-GGA level.

Lattice parameters (Å, degrees): 3.8134 4.7522 5.9194 90.00 108.96 90.00
Last column: nearest neighbours and their distance in Å.
Atoms (fractional coordinates):
Nd1 0.4431 0.5000 0.4262  7 Au 3.06-3.18
Y1 0.7209 0.0000 0.9797  7 Au 3.09-3.15
Au1 0.1711 0.5000 0.8801  3 Nd 3.06-3.18, 2 Au 3.07, 4 Y 3.10
Au2 0.9960 0.0000 0.5320  2 Au 3.07, 3 Y 3.09-3.15, 4 Nd 3.10

Properties
space group = Pm, No. 6
calculated formation energy = -3.3 eV per formula unit
spin magnetization = 0.00 μB per formula unit
final energy = -5.28 eV/atom

Which formula does entry 7 have? MnMo2Au